A relaxed Tb3HoZn8 crystal, computed with GGA-PBE.

Results
- magnetic moment (Bohr magnetons per cell) = 0.00
- density (Mg/m³) = 8.375
- formation energy (meV per atom) = -335
- ΔE to the lowest computed polymorph (meV/atom) = 0

abc: 5.4758 5.4758 26.6853
angles: 90.00 90.00 120.00
Space group R3m (No. 160, hexagonal axes)
Asymmetric unit:
Tb  0.0000  0.0000  0.0000 x3
Tb  0.0000  0.0000  0.1247 x3
Tb  0.0000  0.0000  0.6245 x3
Ho  0.0000  0.0000  0.4999 x3
Zn  0.0000  0.0000  0.3123 x3
Zn  0.0000  0.0000  0.8122 x3
Zn  0.0004  0.5002  0.0625 x9
Zn  0.9997  0.4998  0.5621 x9

A relaxed CaLa2CdNi crystal, computed with GGA-PBE.

Results
- magnetic moment (Bohr magnetons per cell) = 0.00
- density (Mg/m³) = 5.223
- formation energy (meV per atom) = -126
- ΔE to the lowest computed polymorph (meV/atom) = 25

abc: 5.450 5.450 5.234
angles: 90.00 90.00 90.00
Space group P4/mmm (No. 123)
Asymmetric unit:
Ca  0.000  0.000  0.000 x1
La  0.000  0.500  0.500 x2
Cd  0.500  0.500  0.000 x1
Ni  0.500  0.500  0.500 x1

A relaxed Hf3Ge2 crystal, computed with GGA-PBE.

Results
- magnetic moment (Bohr magnetons per cell) = 0.00
- density (Mg/m³) = 11.207
- formation energy (meV per atom) = -579
- ΔE to the lowest computed polymorph (meV/atom) = 119

abc: 10.501 3.768 10.197
angles: 90.00 90.00 90.00
Space group Pnma (No. 62)
Asymmetric unit:
Hf  0.042  0.250  0.124 x4
Hf  0.123  0.750  0.569 x4
Hf  0.218  0.250  0.799 x4
Ge  0.022  0.750  0.318 x4
Ge  0.194  0.750  0.002 x4

A relaxed LaFeHg2 crystal, computed with GGA-PBE.

Results
- magnetic moment (Bohr magnetons per cell) = 2.25
- density (Mg/m³) = 10.273
- formation energy (meV per atom) = 108

abc: 4.492 4.463 4.805
angles: 90.00 90.14 90.00
Space group P2/m (No. 10)
Asymmetric unit:
La  0.000  0.000  0.000 x1
Fe  0.500  0.500  0.000 x1
Hg  0.000  0.500  0.500 x1
Hg  0.500  0.000  0.500 x1

A relaxed YGeC3 crystal, computed with GGA-PBE.

Results
- magnetic moment (Bohr magnetons per cell) = 0.00
- density (Mg/m³) = 5.168
- formation energy (meV per atom) = 1543
- ΔE to the lowest computed polymorph (meV/atom) = 0

abc: 3.989 3.989 3.989
angles: 90.00 90.00 90.00
Space group Pm-3m (No. 221)
Asymmetric unit:
Y  0.000  0.000  0.000 x1
Ge  0.500  0.500  0.500 x1
C  0.000  0.500  0.500 x3

A relaxed CoCuAg2Cl6 crystal, computed with GGA-PBE.

Results
- magnetic moment (Bohr magnetons per cell) = 0.00
- density (Mg/m³) = 4.603
- uncorrected formation energy (meV/atom) = -434.0

abc: 6.461 6.470 6.628
angles: 60.85 89.93 60.07
Space group P1 (No. 1)
Asymmetric unit:
Co  0.000  0.000  0.000 x1
Cu  0.496  0.007  0.490 x1
Ag  0.238  0.524  0.713 x1
Ag  0.730  0.539  0.191 x1
Cl  0.134  0.524  0.245 x1
Cl  0.239  0.897  0.761 x1
Cl  0.342  0.890  0.246 x1
Cl  0.659  0.103  0.761 x1
Cl  0.768  0.097  0.246 x1
Cl  0.865  0.475  0.762 x1

A relaxed BeZn2Hg crystal, computed with GGA-PBE.

Results
- magnetic moment (Bohr magnetons per cell) = 0.00
- density (Mg/m³) = 8.741
- formation energy (meV per atom) = 299
- ΔE to the lowest computed polymorph (meV/atom) = 84

abc: 5.108 7.629 3.319
angles: 90.00 90.00 90.00
Space group Cmmm (No. 65)
Asymmetric unit:
Be  0.000  0.000  0.000 x2
Zn  0.250  0.250  0.500 x4
Hg  0.000  0.500  0.000 x2

A relaxed Dy6Ir5Au crystal, computed with GGA-PBE.

Results
- magnetic moment (Bohr magnetons per cell) = 0.00
- density (Mg/m³) = 14.326
- formation energy (meV per atom) = -823

abc: 4.820 7.089 7.594
angles: 90.00 107.65 90.00
Space group P2/m (No. 10)
Asymmetric unit:
Dy  0.000  0.242  0.000 x2
Dy  0.329  0.248  0.660 x4
Ir  0.166  0.500  0.332 x2
Ir  0.167  0.000  0.333 x2
Ir  0.500  0.000  0.000 x1
Au  0.500  0.500  0.000 x1

A relaxed TbPuTlHg crystal, computed with GGA-PBE.

Results
- magnetic moment (Bohr magnetons per cell) = 6.18
- density (Mg/m³) = 12.599
- formation energy (meV per atom) = -217
- ΔE to the lowest computed polymorph (meV/atom) = 0

abc: 3.471 3.471 8.840
angles: 90.00 90.00 90.00
Space group P4mm (No. 99)
Asymmetric unit:
Tb  0.000  0.000  0.000 x1
Pu  0.000  0.000  0.518 x1
Tl  0.500  0.500  0.254 x1
Hg  0.500  0.500  0.768 x1

A relaxed TlGaO2 crystal, computed with GGA-PBE.

Results
- magnetic moment (Bohr magnetons per cell) = 0.00
- density (Mg/m³) = 7.468
- uncorrected formation energy (meV/atom) = -1331.4
- ΔE to the lowest computed polymorph (meV/atom) = 74

abc: 5.086 3.135 8.704
angles: 90.00 101.26 90.00
Space group Pm (No. 6)
Asymmetric unit:
Tl  0.000  0.000  0.000 x1
Tl  0.392  0.500  0.684 x1
Ga  0.290  0.500  0.328 x1
Ga  0.784  0.000  0.353 x1
O  0.161  0.000  0.466 x1
O  0.410  0.000  0.215 x1
O  0.651  0.500  0.463 x1
O  0.917  0.500  0.219 x1

A relaxed Rb2HgTe2 crystal, computed with GGA-PBE.

Results
- magnetic moment (Bohr magnetons per cell) = 0.00
- density (Mg/m³) = 4.005
- uncorrected formation energy (meV/atom) = -719.7

abc: 15.798 7.172 11.744
angles: 90.00 128.64 90.00
Space group C2/m (No. 12)
Asymmetric unit:
Rb  0.106  0.000  0.331 x4
Rb  0.161  0.500  0.023 x4
Hg  0.136  0.500  0.677 x4
Te  0.072  0.500  0.386 x4
Te  0.156  0.000  0.071 x4

A relaxed CeErCo4 crystal, computed with GGA-PBE.

Results
- magnetic moment (Bohr magnetons per cell) = 0.01
- density (Mg/m³) = 10.212
- formation energy (meV per atom) = -214

abc: 7.069 7.069 7.069
angles: 90.00 90.00 90.00
Space group F-43m (No. 216)
Asymmetric unit:
Ce  0.000  0.000  0.000 x4
Er  0.250  0.250  0.750 x4
Co  0.125  0.125  0.375 x16

> The highest magnetic moment belongs to which entry?

TbPuTlHg

> Which of these has the lowest density?

Rb2HgTe2

> Which value of density does entry 1 give?

8.375 Mg/m³

> Look up the density of the ninth one.

12.599 Mg/m³